# 1
Here is a relaxed YNbW2 crystal from the Alexandria database. Energies are from GGA-PBE. Values from VASP.

Raw total energy ... -9.58 eV/atom
Energy of formation ... 4.12 eV per formula unit
Space-group type ... I-42d, No. 122
M_tot ... 0.000 μB/atom
ΔE to the lowest computed polymorph ... 0.499 eV/atom

```
&SYSTEM
  ibrav = 0, nat = 8, ntyp = 3
/
ATOMIC_SPECIES
Y 88.91 Y.upf
Nb 92.91 Nb.upf
W 183.84 W.upf
ATOMIC_POSITIONS crystal
Y 0.000 0.000 0.000
Y 0.750 0.250 0.500
Nb 0.250 0.750 0.500
Nb 0.500 0.500 0.000
W 0.157 0.625 0.032
W 0.375 0.407 0.532
W 0.593 0.125 0.968
W 0.875 0.843 0.468
CELL_PARAMETERS angstrom
-3.815 3.815 2.838
3.815 -3.815 2.838
3.815 3.815 -2.838
```

***

# 2
Here is a relaxed Sc2Ru crystal from the Alexandria database. Energies are from GGA-PBE. Values from VASP.

Raw total energy ... -6.80 eV/atom
Energy of formation ... 1.54 eV per formula unit
Space-group type ... Fd-3m, No. 227
M_tot ... 0.000 μB/atom

```
&SYSTEM
  ibrav = 0, nat = 6, ntyp = 2
/
ATOMIC_SPECIES
Sc 44.96 Sc.upf
Ru 101.07 Ru.upf
ATOMIC_POSITIONS crystal
Sc 0.000 0.000 0.000
Sc 0.000 0.000 0.500
Sc 0.000 0.500 0.000
Sc 0.500 0.000 0.000
Ru 0.375 0.375 0.375
Ru 0.625 0.625 0.625
CELL_PARAMETERS angstrom
0.000 3.824 3.824
3.824 0.000 3.824
3.824 3.824 0.000
```

***

Results for D(E_F): 8.6; 7.0 (in states/eV/cell, following the order of the records).